{"formula": "YF3", "functional": "GGA-PBE", "state": "relaxed", "cell": [[5.9526, 0.0000, 0.0000], [-2.9763, 5.1551, 0.0000], [0.0000, 0.0000, 3.6163]], "species": ["Y", "Y", "F", "F", "F", "F", "F", "F"], "frac_coords": [[0.3333, 0.6667, 0.2500], [0.6667, 0.3333, 0.7500], [0.0854, 0.4064, 0.7500], [0.3210, 0.9146, 0.7500], [0.4064, 0.3210, 0.2500], [0.5936, 0.6790, 0.7500], [0.6790, 0.0854, 0.2500], [0.9146, 0.5936, 0.2500]], "m_tot_mub_per_atom": 0.00, "e_form_raw_kj_per_mol_fu": -1585, "crystal_system": "hexagonal", "volume_a3_per_atom": 13.9}